1.
Computed, not measured: an optimized crystal structure of YP3S at the PBE level of DFT.

Results
**E_form (uncorrected)**: 0.3 eV per formula unit
**Symmetry**: Pm-3m, No. 221
**Crystal system**: cubic
**M_tot**: 0.0 μB per formula unit
**Polymorph energy (0 for the lowest one)**: 0.00 kJ per mole of atoms

Cell lengths 4.569, 4.569, 4.569 Å; angles 90.00, 90.00, 90.00 degrees
Sites, in units of the cell vectors:
P 0.000 0.500 0.000
P 0.500 0.000 0.000
P 0.000 0.000 0.500
Y 0.500 0.500 0.500
S 0.000 0.000 0.000

2.
Computed, not measured: an optimized crystal structure of YPS4 at the PBE level of DFT.

Results
**E_form (uncorrected)**: -6.2 eV per formula unit
**Symmetry**: I4_1/acd, No. 142
**Crystal system**: tetragonal
**M_tot**: 0.0 μB per formula unit

Cell lengths 10.821, 12.241, 10.821 Å; angles 116.23, 90.00, 116.23 degrees
Sites, in units of the cell vectors:
P 0.837 0.750 0.125
P 0.375 0.250 0.163
P 0.337 0.750 0.125
P 0.875 0.250 0.087
P 0.413 0.750 0.625
P 0.375 0.250 0.663
P 0.913 0.750 0.625
P 0.875 0.250 0.587
S 0.350 0.570 0.031
S 0.469 0.430 0.150
S 0.242 0.756 0.966
S 0.534 0.244 0.258
S 0.236 0.744 0.284
S 0.034 0.244 0.486
S 0.040 0.256 0.992
S 0.540 0.256 0.764
S 0.508 0.744 0.460
S 0.029 0.930 0.211
S 0.961 0.430 0.279
S 0.461 0.430 0.650
S 0.781 0.070 0.600
S 0.400 0.930 0.711
S 0.900 0.930 0.719
S 0.221 0.570 0.539
S 0.716 0.256 0.492
S 0.710 0.244 0.986
S 0.210 0.244 0.758
S 0.850 0.570 0.039
S 0.529 0.930 0.219
S 0.789 0.070 0.100
S 0.736 0.744 0.960
S 0.281 0.070 0.971
S 0.742 0.756 0.290
S 0.216 0.256 0.264
S 0.721 0.570 0.531
S 0.289 0.070 0.471
S 0.014 0.756 0.466
S 0.008 0.744 0.784
S 0.969 0.430 0.779
S 0.514 0.756 0.790
Y 0.250 0.500 0.250
Y 0.500 0.000 0.500
Y 0.500 0.000 0.000
Y 0.750 0.500 0.750
Y 0.750 0.500 0.250
Y 0.000 0.000 0.500
Y 0.250 0.500 0.750
Y 0.000 0.000 0.000

3.
Computed, not measured: an optimized crystal structure of YP2S2 at the PBE level of DFT.

Results
**E_form (uncorrected)**: -0.3 eV per formula unit
**Symmetry**: P4/mmm, No. 123
**Crystal system**: tetragonal
**M_tot**: 0.0 μB per formula unit
**Polymorph energy (0 for the lowest one)**: 31.81 kJ per mole of atoms

Cell lengths 4.581, 4.581, 4.573 Å; angles 90.00, 90.00, 90.00 degrees
Sites, in units of the cell vectors:
P 0.500 0.000 0.000
P 0.000 0.500 0.000
Y 0.500 0.500 0.500
S 0.000 0.000 0.000
S 0.000 0.000 0.500

4.
Computed, not measured: an optimized crystal structure of Y3PS at the PBE level of DFT.

Results
**E_form (uncorrected)**: -3.1 eV per formula unit
**Symmetry**: Pm-3m, No. 221
**Crystal system**: cubic
**M_tot**: 0.0 μB per formula unit
**Polymorph energy (0 for the lowest one)**: 48.78 kJ per mole of atoms

Cell lengths 5.093, 5.093, 5.093 Å; angles 90.00, 90.00, 90.00 degrees
Sites, in units of the cell vectors:
S 0.000 0.000 0.000
Y 0.000 0.000 0.500
Y 0.500 0.000 0.000
Y 0.000 0.500 0.000
P 0.500 0.500 0.500

5.
Computed, not measured: an optimized crystal structure of YP2S2 at the PBE level of DFT.

Results
**E_form (uncorrected)**: 2.9 eV per formula unit
**Symmetry**: P4/mmm, No. 123
**Crystal system**: tetragonal
**M_tot**: 0.3 μB per formula unit
**Polymorph energy (0 for the lowest one)**: 93.55 kJ per mole of atoms

Cell lengths 5.183, 5.183, 5.578 Å; angles 90.00, 90.00, 90.00 degrees
Sites, in units of the cell vectors:
P 0.000 0.000 0.500
P 0.500 0.500 0.500
S 0.000 0.500 0.000
S 0.500 0.000 0.000
Y 0.000 0.000 0.000

6.
Computed, not measured: an optimized crystal structure of Y6PS5 at the PBE level of DFT.

Results
**E_form (uncorrected)**: -23.6 eV per formula unit
**Symmetry**: C2/m, No. 12
**Crystal system**: monoclinic
**M_tot**: 0.0 μB per formula unit

Cell lengths 6.824, 6.813, 6.819 Å; angles 60.03, 80.45, 70.60 degrees
Sites, in units of the cell vectors:
Y 0.246 0.918 0.673
Y 0.754 0.409 0.673
Y 0.245 0.246 0.000
Y 0.755 0.754 0.000
Y 0.246 0.591 0.327
Y 0.754 0.082 0.327
S 0.000 0.667 0.666
S 0.000 0.333 0.334
S 0.500 0.832 0.336
S 0.500 0.168 0.664
S 0.500 0.500 0.000
P 0.000 0.000 0.000

7.
Computed, not measured: an optimized crystal structure of Y8P4S3 at the PBE level of DFT.

Results
**E_form (uncorrected)**: -25.8 eV per formula unit
**Symmetry**: C2/m, No. 12
**Crystal system**: monoclinic
**M_tot**: 0.0 μB per formula unit

Cell lengths 7.920, 7.905, 7.905 Å; angles 90.11, 119.96, 119.96 degrees
Sites, in units of the cell vectors:
P 0.000 0.000 0.000
P 0.000 0.500 0.000
P 0.500 0.000 0.000
P 0.000 0.000 0.500
Y 0.500 0.753 0.247
Y 0.997 0.247 0.247
Y 0.510 0.757 0.757
Y 0.490 0.243 0.243
Y 0.000 0.247 0.753
Y 0.000 0.753 0.247
Y 0.500 0.247 0.753
Y 0.003 0.753 0.753
S 0.500 0.000 0.500
S 0.500 0.500 0.500
S 0.500 0.500 0.000

8.
Computed, not measured: an optimized crystal structure of Y5PS4 at the PBE level of DFT.

Results
**E_form (uncorrected)**: -19.6 eV per formula unit
**Symmetry**: I4/m, No. 87
**Crystal system**: tetragonal
**M_tot**: 0.0 μB per formula unit

Cell lengths 5.569, 6.824, 6.824 Å; angles 80.42, 65.92, 65.92 degrees
Sites, in units of the cell vectors:
S 0.802 0.797 0.600
S 0.402 0.400 0.797
S 0.200 0.203 0.400
S 0.600 0.600 0.203
Y 0.902 0.394 0.804
Y 0.296 0.804 0.606
Y 0.100 0.606 0.196
Y 0.706 0.196 0.394
Y 0.501 0.000 0.000
P 0.001 0.000 0.000

9.
Computed, not measured: an optimized crystal structure of Y3P5S12 at the PBE level of DFT.

Results
**E_form (uncorrected)**: -11.7 eV per formula unit
**Symmetry**: Ia-3d, No. 230
**Crystal system**: cubic
**M_tot**: 0.0 μB per formula unit

Cell lengths 13.050, 13.050, 13.050 Å; angles 109.47, 109.47, 109.47 degrees
Sites, in units of the cell vectors:
S 0.081 0.907 0.375
S 0.419 0.125 0.593
S 0.675 0.207 0.581
S 0.919 0.825 0.793
S 0.032 0.407 0.825
S 0.968 0.593 0.175
S 0.875 0.581 0.907
S 0.468 0.793 0.875
S 0.032 0.625 0.707
S 0.125 0.707 0.532
S 0.875 0.293 0.468
S 0.375 0.968 0.793
S 0.325 0.793 0.419
S 0.707 0.581 0.175
S 0.407 0.032 0.325
S 0.593 0.968 0.675
S 0.919 0.093 0.625
S 0.793 0.468 0.375
S 0.175 0.093 0.968
S 0.793 0.325 0.919
S 0.825 0.907 0.032
S 0.293 0.875 0.968
S 0.468 0.675 0.093
S 0.093 0.919 0.125
S 0.207 0.675 0.081
S 0.375 0.407 0.081
S 0.707 0.125 0.032
S 0.407 0.375 0.581
S 0.625 0.593 0.919
S 0.081 0.175 0.207
S 0.532 0.207 0.125
S 0.907 0.825 0.532
S 0.968 0.375 0.293
S 0.125 0.419 0.093
S 0.093 0.175 0.468
S 0.593 0.625 0.419
S 0.581 0.707 0.675
S 0.207 0.532 0.625
S 0.581 0.875 0.407
S 0.625 0.032 0.207
S 0.675 0.468 0.593
S 0.325 0.532 0.407
S 0.532 0.325 0.907
S 0.825 0.919 0.293
S 0.907 0.081 0.875
S 0.175 0.081 0.707
S 0.293 0.419 0.825
S 0.419 0.293 0.325
P 0.375 0.250 0.125
P 0.375 0.125 0.750
P 0.500 0.500 0.500
P 0.000 0.000 0.500
P 0.000 0.000 0.000
P 0.750 0.625 0.375
P 0.875 0.625 0.750
P 0.250 0.875 0.125
P 0.750 0.125 0.875
P 0.125 0.750 0.375
P 0.500 0.500 0.000
P 0.500 0.000 0.000
P 0.250 0.375 0.625
P 0.125 0.375 0.250
P 0.625 0.750 0.875
P 0.875 0.250 0.625
P 0.000 0.500 0.500
P 0.000 0.500 0.000
P 0.500 0.000 0.500
P 0.625 0.875 0.250
Y 0.375 0.750 0.625
Y 0.750 0.375 0.125
Y 0.875 0.125 0.250
Y 0.125 0.250 0.875
Y 0.250 0.125 0.375
Y 0.250 0.625 0.875
Y 0.875 0.750 0.125
Y 0.375 0.625 0.250
Y 0.750 0.875 0.625
Y 0.125 0.875 0.750
Y 0.625 0.250 0.375
Y 0.625 0.375 0.750

10.
Computed, not measured: an optimized crystal structure of Y8PS6 at the PBE level of DFT.

Results
**E_form (uncorrected)**: -22.9 eV per formula unit
**Symmetry**: P-3, No. 147
**Crystal system**: trigonal
**M_tot**: 0.0 μB per formula unit

Cell lengths 3.992, 9.972, 9.972 Å; angles 120.00, 90.00, 90.00 degrees
Sites, in units of the cell vectors:
S 0.246 0.347 0.868
S 0.246 0.520 0.653
S 0.754 0.480 0.347
S 0.754 0.868 0.520
S 0.754 0.653 0.132
S 0.246 0.132 0.480
Y 0.741 0.319 0.031
Y 0.746 0.333 0.667
Y 0.259 0.681 0.969
Y 0.254 0.667 0.333
Y 0.259 0.031 0.712
Y 0.741 0.969 0.288
Y 0.741 0.712 0.681
Y 0.259 0.288 0.319
P 0.500 0.000 0.000

11.
Computed, not measured: an optimized crystal structure of YP2S2 at the PBE level of DFT.

Results
**E_form (uncorrected)**: 4.1 eV per formula unit
**Symmetry**: P4/mmm, No. 123
**Crystal system**: tetragonal
**M_tot**: 0.5 μB per formula unit
**Polymorph energy (0 for the lowest one)**: 116.29 kJ per mole of atoms

Cell lengths 5.408, 5.408, 5.094 Å; angles 90.00, 90.00, 90.00 degrees
Sites, in units of the cell vectors:
P 0.500 0.000 0.000
P 0.000 0.500 0.000
Y 0.000 0.000 0.000
S 0.000 0.000 0.500
S 0.500 0.500 0.500

12.
Computed, not measured: an optimized crystal structure of YPS4 at the PBE level of DFT.

Results
**E_form (uncorrected)**: -5.6 eV per formula unit
**Symmetry**: I4_1/amd, No. 141
**Crystal system**: tetragonal
**M_tot**: 0.0 μB per formula unit

Cell lengths 7.294, 7.294, 7.294 Å; angles 103.95, 103.95, 121.18 degrees
Sites, in units of the cell vectors:
S 0.489 0.314 0.175
S 0.064 0.389 0.325
S 0.686 0.511 0.825
S 0.611 0.936 0.675
S 0.064 0.739 0.675
S 0.686 0.861 0.175
S 0.261 0.936 0.325
S 0.139 0.314 0.825
Y 0.000 0.000 0.000
Y 0.750 0.250 0.500
P 0.250 0.750 0.500
P 0.500 0.500 0.000

13.
Computed, not measured: an optimized crystal structure of YPS3 at the PBE level of DFT.

Results
**E_form (uncorrected)**: 1.5 eV per formula unit
**Symmetry**: Pm-3m, No. 221
**Crystal system**: cubic
**M_tot**: 0.0 μB per formula unit
**Polymorph energy (0 for the lowest one)**: 92.52 kJ per mole of atoms

Cell lengths 5.188, 5.188, 5.188 Å; angles 90.00, 90.00, 90.00 degrees
Sites, in units of the cell vectors:
P 0.500 0.500 0.500
Y 0.000 0.000 0.000
S 0.000 0.500 0.000
S 0.000 0.000 0.500
S 0.500 0.000 0.000

14.
Computed, not measured: an optimized crystal structure of Y6PS3 at the PBE level of DFT.

Results
**E_form (uncorrected)**: -14.1 eV per formula unit
**Symmetry**: P2_1/c, No. 14
**Crystal system**: monoclinic
**M_tot**: 0.0 μB per formula unit

Cell lengths 6.642, 7.307, 9.939 Å; angles 90.00, 84.46, 90.00 degrees
Sites, in units of the cell vectors:
S 0.949 0.370 0.711
S 0.449 0.130 0.211
S 0.500 0.500 0.000
S 0.051 0.630 0.289
S 0.551 0.870 0.789
S 0.000 0.000 0.500
Y 0.820 0.971 0.258
Y 0.180 0.029 0.742
Y 0.330 0.820 0.068
Y 0.830 0.680 0.568
Y 0.846 0.679 0.914
Y 0.680 0.471 0.242
Y 0.170 0.320 0.432
Y 0.654 0.179 0.586
Y 0.154 0.321 0.086
Y 0.320 0.529 0.758
Y 0.346 0.821 0.414
Y 0.670 0.180 0.932
P 0.500 0.500 0.500
P 0.000 0.000 0.000

15.
Computed, not measured: an optimized crystal structure of YPS3 at the PBE level of DFT.

Results
**E_form (uncorrected)**: -3.3 eV per formula unit
**Symmetry**: Pm-3m, No. 221
**Crystal system**: cubic
**M_tot**: 0.0 μB per formula unit
**Polymorph energy (0 for the lowest one)**: 0.00 kJ per mole of atoms

Cell lengths 4.561, 4.561, 4.561 Å; angles 90.00, 90.00, 90.00 degrees
Sites, in units of the cell vectors:
S 0.500 0.000 0.000
S 0.000 0.000 0.500
S 0.000 0.500 0.000
P 0.000 0.000 0.000
Y 0.500 0.500 0.500

16.
Computed, not measured: an optimized crystal structure of YP2S2 at the PBE level of DFT.

Results
**E_form (uncorrected)**: -2.0 eV per formula unit
**Symmetry**: P4/mmm, No. 123
**Crystal system**: tetragonal
**M_tot**: 0.0 μB per formula unit
**Polymorph energy (0 for the lowest one)**: 0.00 kJ per mole of atoms

Cell lengths 4.609, 4.609, 4.489 Å; angles 90.00, 90.00, 90.00 degrees
Sites, in units of the cell vectors:
S 0.000 0.500 0.000
S 0.500 0.000 0.000
Y 0.500 0.500 0.500
P 0.000 0.000 0.000
P 0.000 0.000 0.500

17.
Computed, not measured: an optimized crystal structure of YP3S at the PBE level of DFT.

Results
**E_form (uncorrected)**: 5.6 eV per formula unit
**Symmetry**: Pm-3m, No. 221
**Crystal system**: cubic
**M_tot**: 1.9 μB per formula unit
**Polymorph energy (0 for the lowest one)**: 102.42 kJ per mole of atoms

Cell lengths 5.275, 5.275, 5.275 Å; angles 90.00, 90.00, 90.00 degrees
Sites, in units of the cell vectors:
P 0.000 0.000 0.500
P 0.000 0.500 0.000
P 0.500 0.000 0.000
S 0.500 0.500 0.500
Y 0.000 0.000 0.000

18.
Computed, not measured: an optimized crystal structure of Y3PS at the PBE level of DFT.

Results
**E_form (uncorrected)**: -5.6 eV per formula unit
**Symmetry**: Pm, No. 6
**Crystal system**: monoclinic
**M_tot**: 0.5 μB per formula unit
**Polymorph energy (0 for the lowest one)**: 0.00 kJ per mole of atoms

Cell lengths 3.592, 6.487, 6.508 Å; angles 59.85, 90.00, 90.00 degrees
Sites, in units of the cell vectors:
P 0.220 0.429 0.397
Y 0.720 0.100 0.395
Y 0.720 0.763 0.070
Y 0.720 0.435 0.723
S 0.220 0.103 0.060